Material: HfTlCu
Method: DFT, PBE
State: relaxed

Properties
As for the formation energy: 74 kJ/mol of formula units.

Cell: 4.0743 4.0743 7.2561 Å, 90.00 90.00 90.00°
With the nearest neighbours (Å) after each atom.
Fractional positions:
Hf1 0.2500 0.2500 0.1292  1 Cu 2.54
Hf2 0.7500 0.7500 0.8708  1 Cu 2.54
Tl1 0.2500 0.7500 0.5000  4 Cu 2.87, 4 Tl 2.88
Tl2 0.7500 0.2500 0.5000  4 Cu 2.87, 4 Tl 2.88
Cu1 0.2500 0.2500 0.7789  1 Hf 2.54
Cu2 0.7500 0.7500 0.2211  1 Hf 2.54